[1]
# ReTc3, PBEsol geometry, DFT SCAN
# Relative energy among the computed polymorphs in eV/f.u.: 0.04
# Fermi-level density of states in states/eV per cell: 6.77
# Magnetic moment in Bohr magnetons per cell: 0.00
# Energy of formation from the pure elements in eV per formula unit: -0.03
data_ReTc3
_chemical_formula_sum 'Re2 Tc6'
_cell_length_a 5.4556
_cell_length_b 5.4556
_cell_length_c 4.3840
_cell_angle_alpha 90.00
_cell_angle_beta 90.00
_cell_angle_gamma 120.00
_symmetry_space_group_name_H-M 'P 63/m m c'
_symmetry_Int_Tables_number 194
_symmetry_space_group_name_Hall '-P 6c 2c'
loop_
_atom_site_label
_atom_site_type_symbol
_atom_site_fract_x
_atom_site_fract_y
_atom_site_fract_z
Re1 Re 0.3333 0.6667 0.2500
Tc1 Tc 0.1669 0.3338 0.7500

---

[2]
# Re3Tc, PBEsol geometry, DFT SCAN
# Relative energy among the computed polymorphs in eV/f.u.: 0.02
# Fermi-level density of states in states/eV per cell: 6.77
# Magnetic moment in Bohr magnetons per cell: 0.00
# Energy of formation from the pure elements in eV per formula unit: -0.02
data_Re3Tc
_chemical_formula_sum 'Re6 Tc2'
_cell_length_a 5.4877
_cell_length_b 5.4877
_cell_length_c 4.4321
_cell_angle_alpha 90.00
_cell_angle_beta 90.00
_cell_angle_gamma 120.00
_symmetry_space_group_name_H-M 'P 63/m m c'
_symmetry_Int_Tables_number 194
_symmetry_space_group_name_Hall '-P 6c 2c'
loop_
_atom_site_label
_atom_site_type_symbol
_atom_site_fract_x
_atom_site_fract_y
_atom_site_fract_z
Re1 Re 0.1666 0.3331 0.2500
Tc1 Tc 0.3333 0.6667 0.7500

---

[3]
# ReTc3, PBEsol geometry, DFT SCAN
# Relative energy among the computed polymorphs in eV/f.u.: 0.28
# Fermi-level density of states in states/eV per cell: 10.32
# Magnetic moment in Bohr magnetons per cell: 0.00
# Energy of formation from the pure elements in eV per formula unit: 0.21
data_ReTc3
_chemical_formula_sum 'Re3 Tc9'
_cell_length_a 2.7198
_cell_length_b 2.7198
_cell_length_c 26.5654
_cell_angle_alpha 90.00
_cell_angle_beta 90.00
_cell_angle_gamma 120.00
_symmetry_space_group_name_H-M 'R -3 m'
_symmetry_Int_Tables_number 166
_symmetry_space_group_name_Hall '-R 3 2"'
loop_
_atom_site_label
_atom_site_type_symbol
_atom_site_fract_x
_atom_site_fract_y
_atom_site_fract_z
Re1 Re 0.0000 0.0000 0.0000
Tc1 Tc 0.0000 0.0000 0.2494
Tc2 Tc 0.0000 0.0000 0.5000

---

[4]
# Re4Tc, PBEsol geometry, DFT SCAN
# Fermi-level density of states in states/eV per cell: 7.54
# Magnetic moment in Bohr magnetons per cell: 0.00
# Energy of formation from the pure elements in eV per formula unit: 0.21
data_Re4Tc
_chemical_formula_sum 'Re8 Tc2'
_cell_length_a 6.127
_cell_length_b 6.127
_cell_length_c 3.868
_cell_angle_alpha 90.00
_cell_angle_beta 90.00
_cell_angle_gamma 90.00
_symmetry_space_group_name_H-M 'I 4/m'
_symmetry_Int_Tables_number 87
_symmetry_space_group_name_Hall '-I 4'
loop_
_atom_site_label
_atom_site_type_symbol
_atom_site_fract_x
_atom_site_fract_y
_atom_site_fract_z
Re1 Re 0.100 0.701 0.000
Tc1 Tc 0.000 0.000 0.500

---

[5]
# Re5Tc, PBEsol geometry, DFT SCAN
# Relative energy among the computed polymorphs in eV/f.u.: 0.29
# Fermi-level density of states in states/eV per cell: 8.75
# Magnetic moment in Bohr magnetons per cell: 0.00
# Energy of formation from the pure elements in eV per formula unit: 0.26
data_Re5Tc
_chemical_formula_sum 'Re10 Tc2'
_cell_length_a 3.873
_cell_length_b 11.620
_cell_length_c 3.879
_cell_angle_alpha 90.00
_cell_angle_beta 90.00
_cell_angle_gamma 90.00
_symmetry_space_group_name_H-M 'C m m m'
_symmetry_Int_Tables_number 65
_symmetry_space_group_name_Hall '-C 2 2'
loop_
_atom_site_label
_atom_site_type_symbol
_atom_site_fract_x
_atom_site_fract_y
_atom_site_fract_z
Re1 Re 0.000 0.000 0.000
Re2 Re 0.000 0.166 0.500
Re3 Re 0.000 0.334 0.000
Tc1 Tc 0.000 0.500 0.500

---

[6]
# ReTc3, PBEsol geometry, DFT SCAN
# Relative energy among the computed polymorphs in eV/f.u.: 0.13
# Fermi-level density of states in states/eV per cell: 20.40
# Magnetic moment in Bohr magnetons per cell: 0.00
# Energy of formation from the pure elements in eV per formula unit: 0.07
data_ReTc3
_chemical_formula_sum 'Re6 Tc18'
_cell_length_a 5.457
_cell_length_b 13.189
_cell_length_c 4.718
_cell_angle_alpha 90.00
_cell_angle_beta 90.00
_cell_angle_gamma 90.00
_symmetry_space_group_name_H-M 'P m m n'
_symmetry_Int_Tables_number 59
loop_
_symmetry_equiv_pos_as_xyz
'x,y,z'
'-x,-y,-z'
'-x+1/2,-y+1/2,z'
'x+1/2,y+1/2,-z'
'x+1/2,-y,-z'
'-x+1/2,y,z'
'-x,y+1/2,-z'
'x,-y+1/2,z'
loop_
_atom_site_label
_atom_site_type_symbol
_atom_site_fract_x
_atom_site_fract_y
_atom_site_fract_z
Re1 Re 0.250 0.084 0.166
Re2 Re 0.250 0.750 0.500
Tc1 Tc 0.000 0.083 0.667
Tc2 Tc 0.001 0.750 0.999
Tc3 Tc 0.250 0.250 0.500
Tc4 Tc 0.250 0.583 0.834

---

Question: What is the energy of formation from the pure elements in the first record?
Answer: -0.03 eV per formula unit